# 1
The following is a meta-GGA SCAN calculation of a crystal of La4MnSe6O relaxed with PBEsol, from the Alexandria database.

The raw total energy comes out at -28.769 eV per atom.

It has space group P6_3mc (No. 186), with a = 9.6553 Å, b = 9.6553 Å, c = 7.0042 Å, α = 90.00°, β = 90.00° and γ = 120.00°. The distinct sites, in fractional coordinates, are La at (0.1994, 0.3988, 0.0000), La at (0.3333, 0.6667, 0.4504), Mn at (0.0000, 0.0000, 0.1766), Se at (0.0560, 0.5280, 0.7139), Se at (0.1250, 0.2500, 0.3992) and O at (0.3333, 0.6667, 0.1138).

---

# 2
The following is a meta-GGA SCAN calculation of a crystal of Pr3Ni relaxed with PBEsol, from the Alexandria database.

The calculated formation energy is -0.647 eV per formula unit.

It has space group Pnma (No. 62), with a = 6.980 Å, b = 9.887 Å, c = 6.427 Å, α = 90.00°, β = 90.00° and γ = 90.00°. The distinct sites, in fractional coordinates, are Pr at (0.033, 0.250, 0.144), Pr at (0.175, 0.066, 0.672) and Ni at (0.115, 0.750, 0.429).

---

# 3
The following is a meta-GGA SCAN calculation of a crystal of Y2AgAu relaxed with PBEsol, from the Alexandria database.

The calculated formation energy is -3.142 eV per formula unit.

It has space group Fm-3m (No. 225), with a = 7.113 Å, b = 7.113 Å, c = 7.113 Å, α = 90.00°, β = 90.00° and γ = 90.00°. The distinct sites, in fractional coordinates, are Y at (0.250, 0.250, 0.250), Ag at (0.000, 0.000, 0.000) and Au at (0.000, 0.000, 0.500).

---

# 4
The following is a meta-GGA SCAN calculation of a crystal of SrInPt3 relaxed with PBEsol, from the Alexandria database.

The calculated formation energy is 7.372 eV per formula unit.

It has space group Pm-3m (No. 221), with a = 5.088 Å, b = 5.088 Å, c = 5.088 Å, α = 90.00°, β = 90.00° and γ = 90.00°. The distinct sites, in fractional coordinates, are Sr at (0.000, 0.000, 0.000), In at (0.500, 0.500, 0.500) and Pt at (0.000, 0.000, 0.500).

---

# 5
The following is a meta-GGA SCAN calculation of a crystal of KScTa2 relaxed with PBEsol, from the Alexandria database.

The calculated formation energy is 4.834 eV per formula unit.

It has space group Pmmm (No. 47), with a = 3.212 Å, b = 4.706 Å, c = 5.570 Å, α = 90.00°, β = 90.00° and γ = 90.00°. The distinct sites, in fractional coordinates, are K at (0.000, 0.000, 0.000), Sc at (0.500, 0.500, 0.000), Ta at (0.000, 0.500, 0.500) and Ta at (0.500, 0.000, 0.500).

---

# 6
The following is a meta-GGA SCAN calculation of a crystal of KCrHg2 relaxed with PBEsol, from the Alexandria database.

The calculated formation energy is 0.521 eV per formula unit.

It has space group Fm-3m (No. 225), with a = 7.322 Å, b = 7.322 Å, c = 7.322 Å, α = 90.00°, β = 90.00° and γ = 90.00°. The distinct sites, in fractional coordinates, are K at (0.000, 0.000, 0.000), Cr at (0.000, 0.000, 0.500) and Hg at (0.250, 0.250, 0.250).

---

# 7
The following is a meta-GGA SCAN calculation of a crystal of Mo2RuRh relaxed with PBEsol, from the Alexandria database.

The calculated formation energy is 0.039 eV per formula unit.

It has space group Cm (No. 8), with a = 8.995 Å, b = 2.739 Å, c = 4.724 Å, α = 90.00°, β = 99.33° and γ = 90.00°. The distinct sites, in fractional coordinates, are Mo at (0.000, 0.000, 0.000), Mo at (0.235, 0.000, 0.705), Ru at (0.245, 0.500, 0.211) and Rh at (0.489, 0.000, 0.492).

---

# 8
The following is a meta-GGA SCAN calculation of a crystal of As2PbCl relaxed with PBEsol, from the Alexandria database.

The raw total energy comes out at -30.914 eV per atom.

It has space group F-43m (No. 216), with a = 6.991 Å, b = 6.991 Å, c = 6.991 Å, α = 90.00°, β = 90.00° and γ = 90.00°. The distinct sites, in fractional coordinates, are As at (0.000, 0.000, 0.000), As at (0.250, 0.250, 0.250), Pb at (0.250, 0.250, 0.750) and Cl at (0.000, 0.000, 0.500).

---

# 9
The following is a meta-GGA SCAN calculation of a crystal of BaCd relaxed with PBEsol, from the Alexandria database.

The calculated formation energy is -0.620 eV per formula unit.

It has space group Imma (No. 74), with a = 4.029 Å, b = 5.834 Å, c = 11.816 Å, α = 90.00°, β = 90.00° and γ = 90.00°. The distinct sites, in fractional coordinates, are Ba at (0.000, 0.250, 0.096) and Cd at (0.000, 0.250, 0.662).

---

# 10
The following is a meta-GGA SCAN calculation of a crystal of MnRu2 relaxed with PBEsol, from the Alexandria database.

The calculated formation energy is 0.119 eV per formula unit.

It has space group Cm (No. 8), with a = 9.424 Å, b = 2.641 Å, c = 6.133 Å, α = 90.00°, β = 103.29° and γ = 90.00°. The distinct sites, in fractional coordinates, are Mn at (0.000, 0.000, 0.000), Mn at (0.165, 0.500, 0.326), Ru at (0.057, 0.000, 0.603), Ru at (0.217, 0.500, 0.948), Ru at (0.335, 0.000, 0.666) and Ru at (0.390, 0.000, 0.270).

---

# 11
The following is a meta-GGA SCAN calculation of a crystal of SiOsPt2 relaxed with PBEsol, from the Alexandria database.

The raw total energy comes out at -55.591 eV per atom.

It has space group P2/m (No. 10), with a = 2.793 Å, b = 3.942 Å, c = 5.309 Å, α = 90.00°, β = 103.09° and γ = 90.00°. The distinct sites, in fractional coordinates, are Si at (0.000, 0.000, 0.000), Os at (0.000, 0.000, 0.500) and Pt at (0.375, 0.500, 0.239).

---

# 12
The following is a meta-GGA SCAN calculation of a crystal of P2Pb4SO12 relaxed with PBEsol, from the Alexandria database.

The raw total energy comes out at -23.419 eV per atom.

It has space group I-42d (No. 122), with a = 10.475 Å, b = 10.475 Å, c = 10.499 Å, α = 90.00°, β = 90.00° and γ = 90.00°. The distinct sites, in fractional coordinates, are P at (0.124, 0.750, 0.125), Pb at (0.077, 0.674, 0.439), S at (0.000, 0.000, 0.500), O at (0.040, 0.637, 0.078), O at (0.063, 0.599, 0.670) and O at (0.202, 0.207, 0.988).

---

Total moment? In order: 4.997, 0.000, 0.000, 0.000, 0.000, 5.149, 0.000, 0.000, 0.003, 1.917, 0.000, 0.000 μB per formula unit.